# 1
# CuSi4Ag

A geometry-optimized CuSi4Ag structure (PBE, Alexandria).

Calculated values
formation energy from raw total energies = 0.51 eV per atom
Fermi-level density of states = 1.13 states/eV/f.u.

The structure in POSCAR format:
```
CuSi4Ag
1.0
0.000 3.611 3.611
3.611 0.000 3.611
3.611 3.611 0.000
Cu Si Ag
1 4 1
Cartesian
0.000 0.000 0.000
2.705 4.518 4.518
4.518 4.518 2.705
4.518 2.705 4.518
2.705 2.705 2.705
5.417 5.417 5.417
```



# 2
# Cu2SiAg

A geometry-optimized Cu2SiAg structure (PBE, Alexandria).

Calculated values
formation energy from raw total energies = 0.10 eV per atom
Fermi-level density of states = 0.85 states/eV/f.u.

The structure in POSCAR format:
```
Cu2SiAg
1.0
-0.709 3.591 2.123
-0.958 -1.486 2.194
4.320 -0.187 1.758
Ag Cu Si
1 2 1
Cartesian
2.453 0.719 3.819
4.138 -0.370 2.007
0.808 1.554 1.858
1.256 -1.009 2.127
```



# 3
# CuSi2Ag

A geometry-optimized CuSi2Ag structure (PBE, Alexandria).

Calculated values
formation energy from raw total energies = 0.26 eV per atom
Fermi-level density of states = 1.61 states/eV/f.u.

The structure in POSCAR format:
```
CuSi2Ag
1.0
-2.758 1.348 2.505
-2.153 -3.270 -0.610
1.410 -4.674 7.202
Si Cu Ag
4 2 2
Cartesian
-1.513 -0.797 3.174
-1.465 -2.981 1.848
-0.883 -4.377 6.084
-3.140 -5.036 7.087
-2.455 -0.961 0.947
-1.599 -4.452 3.769
0.000 0.000 0.000
-1.901 -2.143 5.327
```



# 4
# Cu2SiAg

A geometry-optimized Cu2SiAg structure (PBE, Alexandria).

Calculated values
formation energy from raw total energies = 0.11 eV per atom
Fermi-level density of states = 1.39 states/eV/f.u.

The structure in POSCAR format:
```
Cu2SiAg
1.0
-1.305 2.204 3.749
-2.733 -0.184 3.621
2.952 -1.935 3.164
Ag Cu Si
1 2 1
Cartesian
-0.272 0.023 2.609
2.839 -1.866 3.124
-0.857 0.089 7.902
-0.389 -0.053 5.328
```



# 5
# Cu2SiAg

A geometry-optimized Cu2SiAg structure (PBE, Alexandria).

Calculated values
formation energy from raw total energies = 0.17 eV per atom
Fermi-level density of states = 2.08 states/eV/f.u.

The structure in POSCAR format:
```
Cu2SiAg
1.0
4.296 0.000 0.000
2.148 3.720 0.000
2.148 1.240 3.507
Ag Cu Si
1 2 1
Cartesian
4.296 2.480 1.754
0.000 0.000 0.000
6.443 3.720 2.631
2.148 1.240 0.877
```



# 6
# Cu2SiAg2

A geometry-optimized Cu2SiAg2 structure (PBE, Alexandria).

Calculated values
formation energy from raw total energies = 0.15 eV per atom
Fermi-level density of states = 1.60 states/eV/f.u.

The structure in POSCAR format:
```
Cu2SiAg2
1.0
6.112 0.000 0.000
0.000 6.112 0.000
0.000 0.000 4.109
Si Cu Ag
2 4 4
Cartesian
0.000 0.000 0.000
3.056 3.056 0.000
2.180 5.236 0.000
5.236 3.932 0.000
3.932 0.876 0.000
0.876 2.180 0.000
1.013 4.069 2.054
4.069 5.100 2.054
5.100 2.043 2.054
2.043 1.013 2.054
```



> Fermi-level density of states of number 5 (Cu2SiAg)?

2.08 states/eV/f.u.



> What is the formula in the sixth record?

Cu2SiAg2